P:
DFT (GGA-PBE) results for a relaxed La2BeO crystal. Values from VASP.

Quantum ESPRESSO input file:
```
&SYSTEM
  ibrav = 0, nat = 16, ntyp = 3
/
ATOMIC_SPECIES
La 138.91 La.upf
Be 9.01 Be.upf
O 16.00 O.upf
CELL_PARAMETERS angstrom
6.800 0.000 0.000
0.000 6.800 0.000
0.000 0.000 6.800
ATOMIC_POSITIONS crystal
La 0.250 0.250 0.250
La 0.250 0.250 0.750
La 0.250 0.750 0.250
La 0.250 0.750 0.750
La 0.750 0.250 0.250
La 0.750 0.250 0.750
La 0.750 0.750 0.250
La 0.750 0.750 0.750
Be 0.000 0.000 0.000
Be 0.000 0.500 0.500
Be 0.500 0.000 0.500
Be 0.500 0.500 0.000
O 0.000 0.000 0.500
O 0.000 0.500 0.000
O 0.500 0.000 0.000
O 0.500 0.500 0.500
```

Values from the calculation:
As for the magnetic moment: 0.0 μB/cell.

=====

Q:
DFT (GGA-PBE) results for a relaxed La2BeO crystal. Values from VASP.

Quantum ESPRESSO input file:
```
&SYSTEM
  ibrav = 0, nat = 16, ntyp = 3
/
ATOMIC_SPECIES
La 138.91 La.upf
Be 9.01 Be.upf
O 16.00 O.upf
CELL_PARAMETERS angstrom
6.808 0.000 0.000
0.000 6.808 0.000
0.000 0.000 8.688
ATOMIC_POSITIONS crystal
La 0.186 0.250 0.125
La 0.250 0.686 0.375
La 0.250 0.814 0.875
La 0.314 0.250 0.625
La 0.686 0.750 0.625
La 0.750 0.186 0.875
La 0.750 0.314 0.375
La 0.814 0.750 0.125
Be 0.000 0.000 0.500
Be 0.000 0.500 0.750
Be 0.500 0.000 0.250
Be 0.500 0.500 0.000
O 0.000 0.000 0.000
O 0.000 0.500 0.250
O 0.500 0.000 0.750
O 0.500 0.500 0.500
```

Values from the calculation:
As for the magnetic moment: 0.0 μB/cell.

=====

Result of the stability comparison: P is the least stable of them.

=====

P:
DFT (GGA-PBE) results for a relaxed LaBePO2 crystal. Values from VASP.

Quantum ESPRESSO input file:
```
&SYSTEM
  ibrav = 0, nat = 5, ntyp = 4
/
ATOMIC_SPECIES
La 138.91 La.upf
Be 9.01 Be.upf
P 30.97 P.upf
O 16.00 O.upf
CELL_PARAMETERS angstrom
4.152 0.000 0.000
0.000 4.152 0.000
0.000 0.000 6.468
ATOMIC_POSITIONS crystal
La 0.000 0.000 0.000
Be 0.500 0.500 0.500
P 0.000 0.000 0.500
O 0.000 0.500 0.000
O 0.500 0.000 0.000
```

Values from the calculation:
As for the magnetic moment: 0.0 μB/cell.

=====

Q:
DFT (GGA-PBE) results for a relaxed LaBePO2 crystal. Values from VASP.

Quantum ESPRESSO input file:
```
&SYSTEM
  ibrav = 0, nat = 5, ntyp = 4
/
ATOMIC_SPECIES
La 138.91 La.upf
Be 9.01 Be.upf
P 30.97 P.upf
O 16.00 O.upf
CELL_PARAMETERS angstrom
4.038 0.000 0.000
0.000 4.038 0.000
0.000 0.000 4.078
ATOMIC_POSITIONS crystal
La 0.000 0.000 0.000
Be 0.500 0.500 0.500
P 0.500 0.500 0.000
O 0.000 0.500 0.500
O 0.500 0.000 0.500
```

Values from the calculation:
As for the magnetic moment: 0.0 μB/cell.

=====

Result of the stability comparison: P is the least stable of them.